# 1
# Li3CuRu

An optimized crystal structure of Li3CuRu (GGA-PBE, the Alexandria database).

## Properties
energy above the most stable polymorph in this dataset	0	meV/atom
uncorrected energy	-0.110	hartree per atom
density	4.07	Mg/m³
D(E_F)	1.5	states/eV/f.u.

Unit cell a=4.2301 b=4.2301 c=4.2301 alpha=90.00 beta=90.00 gamma=90.00
Closest atoms and distances in Å follow each position.
Space group Pm-3m (No. 221)
Inequivalent atoms, fractional coordinates:
Li  0.0000  0.0000  0.5000 x3  2 Cu 2.12
Cu  0.0000  0.0000  0.0000 x1  6 Li 2.12
Ru  0.5000  0.5000  0.5000 x1  12 Li 2.99

=====

# 2
# Li3CuRu

An optimized crystal structure of Li3CuRu (GGA-PBE, the Alexandria database).

## Properties
energy above the most stable polymorph in this dataset	182	meV/atom
uncorrected energy	-0.103	hartree per atom
density	3.12	Mg/m³
D(E_F)	5.3	states/eV/f.u.

Unit cell a=4.6189 b=4.6189 c=4.6189 alpha=90.00 beta=90.00 gamma=90.00
Closest atoms and distances in Å follow each position.
Space group Pm-3m (No. 221)
Inequivalent atoms, fractional coordinates:
Li  0.0000  0.0000  0.5000 x3  2 Ru 2.31
Cu  0.5000  0.5000  0.5000 x1  12 Li 3.27
Ru  0.0000  0.0000  0.0000 x1  6 Li 2.31

=====

# 3
# LiCuRu4

An optimized crystal structure of LiCuRu4 (GGA-PBE, the Alexandria database).

## Properties
uncorrected energy	-0.241	hartree per atom
density	8.55	Mg/m³
D(E_F)	9.6	states/eV/f.u.

Unit cell a=7.1711 b=7.1711 c=7.1711 alpha=90.00 beta=90.00 gamma=90.00
Closest atoms and distances in Å follow each position.
Space group F-43m (No. 216)
Inequivalent atoms, fractional coordinates:
Li  0.0000  0.0000  0.0000 x4  12 Ru 2.97, 4 Cu 3.11
Cu  0.2500  0.2500  0.2500 x4  12 Ru 2.97, 4 Li 3.11
Ru  0.1249  0.1249  0.6249 x16  6 Ru 2.53-2.54

=====

# 4
# Li2CuRu

An optimized crystal structure of Li2CuRu (GGA-PBE, the Alexandria database).

## Properties
energy above the most stable polymorph in this dataset	94	meV/atom
uncorrected energy	-0.153	hartree per atom
density	5.63	Mg/m³
D(E_F)	3.7	states/eV/f.u.

Unit cell a=5.2094 b=8.2801 c=2.4415 alpha=90.00 beta=90.00 gamma=90.00
Closest atoms and distances in Å follow each position.
Space group Cmmm (No. 65)
Inequivalent atoms, fractional coordinates:
Li  0.2500  0.2500  0.0000 x4  4 Li 2.44-2.60, 4 Ru 2.73, 4 Cu 2.73
Cu  0.0000  0.0000  0.5000 x2  2 Cu 2.44, 2 Ru 2.60, 8 Li 2.73
Ru  0.0000  0.5000  0.5000 x2  2 Ru 2.44, 2 Cu 2.60, 8 Li 2.73

=====

What total magnetization values result from the calculations? In sequence: 0.00, 0.84, 1.63, 0.00 μB per formula unit.